Entry from the Alexandria database: NbIr2Cl after structural relaxation (GGA-PBE).

Results
space-group type	Fm-3m, No. 225
energy relative to the elements, uncorrected	0.607	eV/atom
magnetic moment	0.0	Bohr magnetons per cell
V	16.53	Å³/atom
DOS at the Fermi energy	2.6	states/eV/cell
E	-0.5000	Ry per atom
energy above the most stable polymorph in this dataset	0.000	eV per atom

POSCAR file:
```
NbIr2Cl
1.0
0.0000 3.2096 3.2096
3.2096 0.0000 3.2096
3.2096 3.2096 0.0000
Nb Ir Cl
1 2 1
Cartesian
0.0000 0.0000 0.0000
1.6048 1.6048 1.6048
4.8144 4.8144 4.8144
3.2096 3.2096 3.2096
```